A relaxed structure of Tb2TiCdO6, computed with PBE-GGA.

Summary:
density of states at the Fermi level = 0.000 states/eV per atom
M_tot = 0.00 μB per formula unit
volume = 147.1 Å³ per cell
formation energy (no corrections) = -2732 meV per atom

a b c (Å): 5.2925 5.2925 5.2528
angles (deg): 90.00 90.00 90.00
With the nearest neighbours (Å) after each atom.
Space group P4mm (No. 99)
Asymmetric unit:
Tb (0.0000, 0.5000, 0.0000) x2  4 O 2.25
Ti (0.0000, 0.0000, 0.6166) x1  5 O 1.84-1.92
Cd (0.5000, 0.5000, 0.5507) x1  5 O 2.10-2.27
O (0.0000, 0.0000, 0.2657) x1  1 Ti 1.84
O (0.2357, 0.2357, 0.7624) x4  1 Ti 1.92
O (0.5000, 0.5000, 0.1519) x1  1 Cd 2.10

---

A relaxed structure of Tb4TlCdO, computed with PBE-GGA.

Summary:
density of states at the Fermi level = 0.625 states/eV per atom
M_tot = 0.00 μB per formula unit
volume = 711.2 Å³ per cell
formation energy (no corrections) = -985 meV per atom

a b c (Å): 6.6415 16.1144 6.6452
angles (deg): 90.00 90.00 90.00
With the nearest neighbours (Å) after each atom.
Space group Cmcm (No. 63)
Asymmetric unit:
Tb (0.0000, 0.0766, 0.2500) x4  1 O 2.80, 1 Cd 3.09
Tb (0.0000, 0.4210, 0.2500) x4  1 O 2.75
Tb (0.2500, 0.2500, 0.0000) x8  2 O 2.35
Tl (0.0000, 0.3875, 0.7500) x4  9 Tb 3.09-3.37
Cd (0.0000, 0.1154, 0.7500) x4  9 Tb 3.09-3.38
O (0.0000, 0.2504, 0.2500) x4  4 Tb 2.35